# 1
DFT (PBE) results for a relaxed structure of ZnCd2H.

Crystal system: tetragonal
Polymorph energy (0 for the lowest one) in meV per atom: 0
Density in g/cm³: 5.92

a = 5.5824 Å, b = 5.5824 Å, c = 10.4803 Å
α = 90.00°, β = 90.00°, γ = 90.00°
Space group I-42d (No. 122)
Unique sites:
Zn 0.0000 0.0000 0.0000 x4
Cd 0.1576 0.2500 0.6250 x8
H 0.0000 0.0000 0.5000 x4



# 2
DFT (PBE) results for a relaxed structure of ZnCd2H2.

Crystal system: tetragonal
Polymorph energy (0 for the lowest one) in meV per atom: 120
Density in g/cm³: 6.40

a = 4.0197 Å, b = 4.0197 Å, c = 9.3835 Å
α = 90.00°, β = 90.00°, γ = 90.00°
Space group I4/mmm (No. 139)
Unique sites:
Zn 0.0000 0.0000 0.0000 x2
Cd 0.0000 0.0000 0.3493 x4
H 0.0000 0.5000 0.2500 x4



# 3
DFT (PBE) results for a relaxed structure of Zn2Cd2H.

Crystal system: tetragonal
Polymorph energy (0 for the lowest one) in meV per atom: 0
Density in g/cm³: 6.35

a = 7.9399 Å, b = 7.9399 Å, c = 2.9569 Å
α = 90.00°, β = 90.00°, γ = 90.00°
Space group P4/mbm (No. 127)
Unique sites:
Zn 0.1102 0.3898 0.0000 x4
Cd 0.1917 0.6917 0.5000 x4
H 0.0000 0.0000 0.5000 x2



# 4
DFT (PBE) results for a relaxed structure of ZnCdH.

Crystal system: monoclinic
Polymorph energy (0 for the lowest one) in meV per atom: 0
Density in g/cm³: 6.29

a = 9.3469 Å, b = 3.0184 Å, c = 6.8978 Å
α = 90.00°, β = 104.05°, γ = 90.00°
Space group C2/m (No. 12)
Unique sites:
Zn 0.2144 0.0000 0.3198 x4
Cd 0.1048 0.0000 0.8791 x4
H 0.1457 0.5000 0.4242 x4



# 5
DFT (PBE) results for a relaxed structure of ZnCdH3.

Crystal system: cubic
Polymorph energy (0 for the lowest one) in meV per atom: 140
Density in g/cm³: 5.03

a = 3.9085 Å, b = 3.9085 Å, c = 3.9085 Å
α = 90.00°, β = 90.00°, γ = 90.00°
Space group Pm-3m (No. 221)
Unique sites:
Zn 0.0000 0.0000 0.0000 x1
Cd 0.5000 0.5000 0.5000 x1
H 0.0000 0.5000 0.5000 x3



# 6
DFT (PBE) results for a relaxed structure of ZnCdH.

Crystal system: tetragonal
Polymorph energy (0 for the lowest one) in meV per atom: 119
Density in g/cm³: 6.71

a = 2.9442 Å, b = 2.9442 Å, c = 10.2134 Å
α = 90.00°, β = 90.00°, γ = 90.00°
Space group I4mm (No. 107)
Unique sites:
Zn 0.0000 0.0000 0.0000 x2
Cd 0.0000 0.0000 0.2670 x2
H 0.0000 0.0000 0.4954 x2



# 7
DFT (PBE) results for a relaxed structure of ZrZn2CdH.

Crystal system: tetragonal
DFT total energy in eV per atom: -3.20
Density in g/cm³: 7.37

a = 4.2984 Å, b = 4.2984 Å, c = 4.0907 Å
α = 90.00°, β = 90.00°, γ = 90.00°
Space group P4/mmm (No. 123)
Unique sites:
Zr 0.0000 0.0000 0.0000 x1
Zn 0.0000 0.5000 0.5000 x2
Cd 0.5000 0.5000 0.0000 x1
H 0.0000 0.0000 0.5000 x1



# 8
DFT (PBE) results for a relaxed structure of Zr2ZnCdH.

Crystal system: tetragonal
Polymorph energy (0 for the lowest one) in meV per atom: 0
Density in g/cm³: 7.29

a = 4.3829 Å, b = 4.3829 Å, c = 4.2841 Å
α = 90.00°, β = 90.00°, γ = 90.00°
Space group P4/mmm (No. 123)
Unique sites:
Zr 0.0000 0.5000 0.0000 x2
Zn 0.0000 0.0000 0.5000 x1
Cd 0.5000 0.5000 0.5000 x1
H 0.0000 0.0000 0.0000 x1



# 9
DFT (PBE) results for a relaxed structure of ZrCd2H2.

Crystal system: tetragonal
Polymorph energy (0 for the lowest one) in meV per atom: 836
Density in g/cm³: 6.21

a = 7.7974 Å, b = 7.7974 Å, c = 2.7960 Å
α = 90.00°, β = 90.00°, γ = 90.00°
Space group P4/mbm (No. 127)
Unique sites:
Zr 0.0000 0.0000 0.0000 x2
Cd 0.1340 0.3660 0.0000 x4
H 0.1095 0.6095 0.5000 x4



# 10
DFT (PBE) results for a relaxed structure of ZrCd2H.

Crystal system: tetragonal
Polymorph energy (0 for the lowest one) in meV per atom: 577
Density in g/cm³: 6.93

a = 6.2998 Å, b = 6.2998 Å, c = 7.6526 Å
α = 90.00°, β = 90.00°, γ = 90.00°
Space group I-42d (No. 122)
Unique sites:
Zr 0.0000 0.0000 0.0000 x4
Cd 0.1217 0.7500 0.6250 x8
H 0.0000 0.0000 0.5000 x4



# 11
DFT (PBE) results for a relaxed structure of ZrCd2H.

Crystal system: monoclinic
Polymorph energy (0 for the lowest one) in meV per atom: 22
Density in g/cm³: 7.47

a = 11.1148 Å, b = 3.4473 Å, c = 7.4447 Å
α = 90.00°, β = 98.97°, γ = 90.00°
Space group Cm (No. 8)
Unique sites:
Zr 0.0000 0.0000 0.0000 x2
Zr 0.2034 0.5000 0.2737 x2
Cd 0.1223 0.5000 0.7036 x2
Cd 0.2719 0.0000 0.9698 x2
Cd 0.3457 0.0000 0.6152 x2
Cd 0.4988 0.5000 0.4128 x2
H 0.0311 0.5000 0.1375 x2
H 0.3658 0.5000 0.1675 x2



# 12
DFT (PBE) results for a relaxed structure of Zr2Cd2H.

Crystal system: tetragonal
DFT total energy in eV per atom: -4.52
Density in g/cm³: 7.11

a = 5.9390 Å, b = 5.9390 Å, c = 5.4042 Å
α = 90.00°, β = 90.00°, γ = 90.00°
Space group P4/mbm (No. 127)
Unique sites:
Zr 0.1641 0.3359 0.0000 x4
Cd 0.1667 0.6667 0.5000 x4
H 0.0000 0.0000 0.0000 x2



# 13
DFT (PBE) results for a relaxed structure of Zr4CdH.

Crystal system: monoclinic
DFT total energy in eV per atom: -6.53
Density in g/cm³: 6.91

a = 10.7938 Å, b = 3.2484 Å, c = 7.7971 Å
α = 90.00°, β = 122.74°, γ = 90.00°
Space group C2/m (No. 12)
Unique sites:
Zr 0.0922 0.0000 0.3888 x4
Zr 0.2104 0.5000 0.8066 x4
Cd 0.0000 0.5000 0.0000 x2
H 0.0000 0.5000 0.5000 x2



# 14
DFT (PBE) results for a relaxed structure of ZrCd2H.

Crystal system: monoclinic
Polymorph energy (0 for the lowest one) in meV per atom: 0
Density in g/cm³: 7.73

a = 8.1557 Å, b = 8.1868 Å, c = 5.7133 Å
α = 90.00°, β = 134.40°, γ = 90.00°
Space group C2 (No. 5)
Unique sites:
Zr 0.0000 0.0000 0.0000 x2
Zr 0.0000 0.2740 0.5000 x2
Cd 0.0069 0.6381 0.7550 x4
Cd 0.2399 0.9000 0.7350 x4
H 0.0099 0.1921 0.1993 x4



# 15
DFT (PBE) results for a relaxed structure of ZrCd2H2.

Crystal system: tetragonal
Polymorph energy (0 for the lowest one) in meV per atom: 0
Density in g/cm³: 6.67

a = 5.9865 Å, b = 5.9865 Å, c = 4.4222 Å
α = 90.00°, β = 90.00°, γ = 90.00°
Space group P4/mbm (No. 127)
Unique sites:
Zr 0.0000 0.0000 0.0000 x2
Cd 0.2443 0.2557 0.5000 x4
H 0.2435 0.2565 0.0000 x4



# 16
DFT (PBE) results for a relaxed structure of ZrCd2H.

Crystal system: monoclinic
Polymorph energy (0 for the lowest one) in meV per atom: 51
Density in g/cm³: 7.55

a = 4.8760 Å, b = 3.3335 Å, c = 4.8828 Å
α = 90.00°, β = 118.49°, γ = 90.00°
Space group Pm (No. 6)
Unique sites:
Zr 0.0000 0.0000 0.0000 x1
Cd 0.2842 0.5000 0.6249 x1
Cd 0.6256 0.5000 0.2822 x1
H 0.8109 0.5000 0.8059 x1



# 17
DFT (PBE) results for a relaxed structure of ZrCd2H.

Crystal system: monoclinic
Polymorph energy (0 for the lowest one) in meV per atom: 8
Density in g/cm³: 7.71

a = 10.0133 Å, b = 5.7558 Å, c = 5.8211 Å
α = 90.00°, β = 125.54°, γ = 90.00°
Space group C2 (No. 5)
Unique sites:
Zr 0.1176 0.0000 0.3681 x4
Cd 0.0000 0.4770 0.0000 x2
Cd 0.0000 0.4795 0.5000 x2
Cd 0.2380 0.7602 0.9893 x4
H 0.1917 0.6896 0.4426 x4



# 18
DFT (PBE) results for a relaxed structure of ZrCd2H.

Crystal system: cubic
Polymorph energy (0 for the lowest one) in meV per atom: 848
Density in g/cm³: 6.75

a = 6.7820 Å, b = 6.7820 Å, c = 6.7820 Å
α = 90.00°, β = 90.00°, γ = 90.00°
Space group Fm-3m (No. 225)
Unique sites:
Zr 0.0000 0.0000 0.0000 x4
Cd 0.2500 0.2500 0.2500 x8
H 0.0000 0.0000 0.5000 x4



# 19
DFT (PBE) results for a relaxed structure of ZrCd2H.

Crystal system: orthorhombic
Polymorph energy (0 for the lowest one) in meV per atom: 57
Density in g/cm³: 7.56

a = 3.2601 Å, b = 3.3005 Å, c = 12.9510 Å
α = 90.00°, β = 90.00°, γ = 90.00°
Space group Imm2 (No. 44)
Unique sites:
Zr 0.0000 0.0000 0.0000 x2
Cd 0.0000 0.0000 0.3140 x2
Cd 0.0000 0.0000 0.6601 x2
H 0.0000 0.5000 0.9239 x2



# 20
DFT (PBE) results for a relaxed structure of ZrCd2H2.

Crystal system: tetragonal
Polymorph energy (0 for the lowest one) in meV per atom: 329
Density in g/cm³: 7.07

a = 3.1449 Å, b = 3.1449 Å, c = 15.1036 Å
α = 90.00°, β = 90.00°, γ = 90.00°
Space group I4/mmm (No. 139)
Unique sites:
Zr 0.0000 0.0000 0.0000 x2
Cd 0.0000 0.0000 0.3477 x4
H 0.0000 0.5000 0.2500 x4



# 21
DFT (PBE) results for a relaxed structure of ZrCd2H.

Crystal system: orthorhombic
Polymorph energy (0 for the lowest one) in meV per atom: 101
Density in g/cm³: 7.28

a = 3.3921 Å, b = 5.1294 Å, c = 8.3109 Å
α = 90.00°, β = 90.00°, γ = 90.00°
Space group Imm2 (No. 44)
Unique sites:
Zr 0.0000 0.0000 0.0000 x2
Cd 0.0000 0.0000 0.6113 x2
Cd 0.0000 0.5000 0.8066 x2
H 0.0000 0.5000 0.3895 x2



# 22
DFT (PBE) results for a relaxed structure of ZrCd2H.

Crystal system: triclinic
Polymorph energy (0 for the lowest one) in meV per atom: 60
Density in g/cm³: 7.48

a = 5.5474 Å, b = 5.5514 Å, c = 5.6229 Å
α = 101.01°, β = 101.18°, γ = 118.59°
Space group P1 (No. 1)
Unique sites:
Zr 0.0000 0.0000 0.0000 x1
Zr 0.3264 0.6738 0.0003 x1
Cd 0.1779 0.8228 0.5001 x1
Cd 0.4946 0.5058 0.5003 x1
Cd 0.6683 0.3318 0.0000 x1
Cd 0.8112 0.1891 0.4998 x1
H 0.1778 0.2707 0.8191 x1
H 0.7303 0.8226 0.1817 x1



# 23
DFT (PBE) results for a relaxed structure of ZrCd2H.

Crystal system: triclinic
Polymorph energy (0 for the lowest one) in meV per atom: 55
Density in g/cm³: 7.45

a = 5.5286 Å, b = 5.5288 Å, c = 5.5870 Å
α = 79.16°, β = 71.11°, γ = 61.05°
Space group P1 (No. 1)
Unique sites:
Zr 0.0000 0.0000 0.0000 x1
Zr 0.3279 0.3459 0.0003 x1
Cd 0.1686 0.6732 0.4913 x1
Cd 0.5023 0.9933 0.4726 x1
Cd 0.6588 0.6756 0.9858 x1
Cd 0.8298 0.3440 0.4609 x1
H 0.1652 0.2393 0.7977 x1
H 0.7201 0.1252 0.8040 x1



# 24
DFT (PBE) results for a relaxed structure of Zr4Cd2H.

Crystal system: tetragonal
DFT total energy in eV per atom: -5.61
Density in g/cm³: 6.97

a = 4.2064 Å, b = 4.2064 Å, c = 15.8982 Å
α = 90.00°, β = 90.00°, γ = 90.00°
Space group I4/mmm (No. 139)
Unique sites:
Zr 0.0000 0.0000 0.1782 x4
Zr 0.0000 0.5000 0.0000 x4
Cd 0.0000 0.0000 0.3611 x4
H 0.0000 0.0000 0.0000 x2